(1)
The following is a DFT calculation (PBE-GGA) of an optimized crystal structure of PuUAs2Pd2.

a = 4.3541 Å, b = 4.3541 Å, c = 7.4701 Å
α = 90.00°, β = 90.00°, γ = 120.00°
Space group P-3m1 (No. 164)
Unique sites:
Pu 0.0000 0.0000 0.0000
U 0.0000 0.0000 0.5000
As 0.3333 0.6667 0.7652
Pd 0.3333 0.6667 0.2844

Output
- Magnetic moment: 8.011 μB per cell
- Raw total energy: -8.280 eV/atom
- Crystal system: trigonal
- Calculated density: 11.44 g cm⁻³
- Energy of formation from the pure elements: -0.729 eV per atom

---

(2)
The following is a DFT calculation (PBE-GGA) of an optimized crystal structure of Pu2ZnAs4Pd3.

a = 4.404 Å, b = 4.404 Å, c = 10.077 Å
α = 90.00°, β = 90.00°, γ = 90.00°
Space group P-4m2 (No. 115)
Unique sites:
Pu 0.000 0.500 0.239
Zn 0.000 0.000 0.500
As 0.000 0.000 0.000
As 0.000 0.500 0.637
As 0.500 0.500 0.000
Pd 0.000 0.500 0.879
Pd 0.500 0.500 0.500

Output
- Magnetic moment: 11.067 μB per cell
- Raw total energy: -6.974 eV/atom
- Crystal system: tetragonal
- Calculated density: 9.96 g cm⁻³
- Energy of formation from the pure elements: -0.563 eV per atom

---

(3)
The following is a DFT calculation (PBE-GGA) of an optimized crystal structure of RbAs4Pd6.

a = 7.4261 Å, b = 7.4261 Å, c = 4.1290 Å
α = 90.00°, β = 90.00°, γ = 120.00°
Space group P-6m2 (No. 187)
Unique sites:
Rb 0.0000 0.0000 0.0000
As 0.3333 0.6667 0.0000
As 0.3872 0.1936 0.5000
Pd 0.2040 0.4080 0.5000
Pd 0.5372 0.0744 0.0000

Output
- Magnetic moment: 0.000 μB per cell
- Raw total energy: -4.926 eV/atom
- Crystal system: hexagonal
- Calculated density: 8.62 g cm⁻³
- Energy of formation from the pure elements: -0.314 eV per atom

---

(4)
The following is a DFT calculation (PBE-GGA) of an optimized crystal structure of RbAs2Pd2.

a = 8.328 Å, b = 8.328 Å, c = 3.048 Å
α = 90.00°, β = 90.00°, γ = 90.00°
Space group P4/mbm (No. 127)
Unique sites:
Rb 0.000 0.000 0.000
As 0.139 0.361 0.500
Pd 0.122 0.622 0.000

Output
- Magnetic moment: 0.000 μB per cell
- Raw total energy: -4.303 eV/atom
- Crystal system: tetragonal
- Calculated density: 7.04 g cm⁻³
- Energy of formation from the pure elements: -0.173 eV per atom

---

(5)
The following is a DFT calculation (PBE-GGA) of an optimized crystal structure of RbAsPd3.

a = 5.084 Å, b = 5.084 Å, c = 5.084 Å
α = 90.00°, β = 90.00°, γ = 90.00°
Space group Pm-3m (No. 221)
Unique sites:
Rb 0.000 0.000 0.000
As 0.500 0.500 0.500
Pd 0.000 0.000 0.500

Output
- Magnetic moment: 0.000 μB per cell
- Raw total energy: -2.672 eV/atom
- Crystal system: cubic
- Calculated density: 6.06 g cm⁻³
- Energy of formation from the pure elements: 1.567 eV per atom
- Polymorph energy (0 for the lowest one): 1730 meV/atom

---

(6)
The following is a DFT calculation (PBE-GGA) of an optimized crystal structure of RbAs2Pd2.

a = 6.866 Å, b = 6.868 Å, c = 6.874 Å
α = 117.95°, β = 104.95°, γ = 105.62°
Space group P-1 (No. 2)
Unique sites:
Rb 0.249 0.124 0.375
As 0.207 0.758 0.678
As 0.294 0.473 0.053
Pd 0.009 0.505 0.211
Pd 0.489 0.201 0.995

Output
- Magnetic moment: 0.000 μB per cell
- Raw total energy: -4.531 eV/atom
- Crystal system: triclinic
- Calculated density: 6.05 g cm⁻³
- Energy of formation from the pure elements: -0.401 eV per atom